1.
PBE LaTmReO6, relaxed; V = 133.3 Å³/f.u.; SG = No. 149; E = -8.40 eV per atom; E_form (uncorrected) = -2663 meV/atom
1.0
5.4888 0.0000 -0.0007
2.7444 4.7534 -0.0002
0.0006 -0.0002 5.1098
La Tm Re O
1 1 1 6
Cartesian
5.4886 0.0000 -0.0006
5.4891 3.1688 2.5545
2.7446 1.5844 2.5545
1.1381 1.6180 1.4554
1.9701 0.1766 3.6538
4.3512 1.6174 3.6536
1.9128 2.9590 3.6539
3.5768 2.9589 1.4552
3.5188 0.1764 1.4552

2.
PBE LaTm2ReO8, relaxed; V = 174.0 Å³/f.u.; SG = No. 65; E = -8.31 eV per atom; E_form (uncorrected) = -2815 meV/atom
1.0
5.0196 0.0051 -0.0031
0.0381 5.0238 -0.0055
0.0043 0.0076 6.8984
La Tm Re O
1 2 1 8
Cartesian
0.0021 0.0038 3.4492
2.5320 2.5201 5.1616
2.5299 2.5164 1.7282
0.0000 0.0000 0.0000
0.9734 4.0888 1.3637
3.7073 3.6849 6.8921
4.0858 0.9430 1.3652
4.0885 0.9477 5.5262
1.3546 1.3515 -0.0022
0.9761 4.0935 5.5246
3.4518 3.4295 3.4434
1.6101 1.6070 3.4465